Computed, not measured: crystalline Er2Ga8Au at its relaxed geometry at the PBE level of DFT.

Computed properties:
Total moment: 0.00 Bohr magnetons per cell
Calculated density: 8.465 g/cm3
Formation energy: -0.4078 eV per atom

POSCAR file:
```
Er2Ga8Au
1.0
-1.405 -3.943 1.258
1.380 -1.699 -3.783
9.986 -2.096 4.585
Er Ga Au
2 8 1
Cartesian
3.131 -0.657 1.438
6.855 -1.439 3.148
9.323 -2.662 2.073
5.683 -1.897 0.401
3.084 -3.471 0.159
0.650 -2.255 1.250
7.931 -3.783 4.593
6.877 -4.267 1.901
2.043 -1.133 -1.270
4.291 -3.019 2.922
0.000 0.000 0.000
```